Computed, not measured: a relaxed structure of BaAc2Pm at the PBE-GGA level of DFT.

- Density: 6.8 g cm⁻³
- M_tot: 0.0 μB per cell
- Energy of formation: 0.061 eV per atom
- Symmetry: No. 123
- VASP energy: -14.65 eV per cell

The structure in POSCAR format:
```
BaAc2Pm
1.0
-3.704 0.804 -1.211
0.400 -2.623 -2.965
-4.000 -8.251 6.760
Ac Ba Pm
2 1 1
Cartesian
-3.119 -6.434 5.271 Ac
-0.881 -1.817 1.489 Ac
-3.652 -5.035 1.292 Ba
-1.652 -0.910 -2.088 Pm
```